Entry 1:
Below is crystalline SrRhPb3 at its relaxed geometry, with properties calculated at the PBE-GGA level.

The crystal system is orthorhombic. As for the space-group type: Pnma, No. 62. The value obtained for the total magnetization is 0.00 Bohr magnetons per cell. For the energy relative to the elements, the calculation gives -0.30 eV/atom. As for the density: 9.76 g cm⁻³.

```
data_SrRhPb3
_chemical_formula_sum 'Sr4 Rh4 Pb12'
_symmetry_space_group_name_H-M 'P 1'
_symmetry_Int_Tables_number 1
_cell_length_a 9.732
_cell_length_b 4.703
_cell_length_c 12.075
_cell_angle_alpha 90.00
_cell_angle_beta 90.00
_cell_angle_gamma 90.00
loop_
_symmetry_equiv_pos_as_xyz
'x,y,z'
loop_
_atom_site_label
_atom_site_fract_x
_atom_site_fract_y
_atom_site_fract_z
Sr1 0.201 0.250 0.010
Sr2 0.299 0.750 0.510
Sr3 0.701 0.250 0.490
Sr4 0.799 0.750 0.990
Rh1 0.084 0.250 0.342
Rh2 0.416 0.750 0.842
Rh3 0.584 0.250 0.158
Rh4 0.916 0.750 0.658
Pb1 0.065 0.250 0.583
Pb2 0.128 0.750 0.207
Pb3 0.130 0.750 0.810
Pb4 0.370 0.250 0.310
Pb5 0.372 0.250 0.707
Pb6 0.435 0.750 0.083
Pb7 0.565 0.250 0.917
Pb8 0.628 0.750 0.293
Pb9 0.630 0.750 0.690
Pb10 0.870 0.250 0.190
Pb11 0.872 0.250 0.793
Pb12 0.935 0.750 0.417
```

=====

Entry 2:
Below is crystalline Sr2Rh3Pb4 at its relaxed geometry, with properties calculated at the PBE-GGA level.

The crystal system is orthorhombic. As for the space-group type: Fmmm, No. 69. The value obtained for the total magnetization is 0.00 Bohr magnetons per cell. For the energy relative to the elements, the calculation gives -0.34 eV/atom. As for the density: 9.61 g cm⁻³.

```
data_Sr2Rh3Pb4
_chemical_formula_sum 'Sr2 Rh3 Pb4'
_symmetry_space_group_name_H-M 'P 1'
_symmetry_Int_Tables_number 1
_cell_length_a 8.897
_cell_length_b 7.771
_cell_length_c 6.065
_cell_angle_alpha 78.98
_cell_angle_beta 59.02
_cell_angle_gamma 42.00
loop_
_symmetry_equiv_pos_as_xyz
'x,y,z'
loop_
_atom_site_label
_atom_site_fract_x
_atom_site_fract_y
_atom_site_fract_z
Sr1 0.119 0.119 0.881
Sr2 0.881 0.881 0.119
Rh1 0.000 0.000 0.500
Rh2 0.500 0.500 0.000
Rh3 0.500 0.500 0.500
Pb1 0.183 0.515 0.485
Pb2 0.485 0.817 0.183
Pb3 0.515 0.183 0.817
Pb4 0.817 0.485 0.515
```

=====

Entry 3:
Below is crystalline SrRhPb3 at its relaxed geometry, with properties calculated at the PBE-GGA level.

The crystal system is cubic. As for the space-group type: Pm-3m, No. 221. The value obtained for the total magnetization is 0.79 Bohr magnetons per cell. For the energy relative to the elements, the calculation gives 1.42 eV/atom. As for the density: 6.44 g cm⁻³.

```
data_SrRhPb3
_chemical_formula_sum 'Sr1 Rh1 Pb3'
_symmetry_space_group_name_H-M 'P 1'
_symmetry_Int_Tables_number 1
_cell_length_a 5.938
_cell_length_b 5.938
_cell_length_c 5.938
_cell_angle_alpha 90.00
_cell_angle_beta 90.00
_cell_angle_gamma 90.00
loop_
_symmetry_equiv_pos_as_xyz
'x,y,z'
loop_
_atom_site_label
_atom_site_fract_x
_atom_site_fract_y
_atom_site_fract_z
Sr1 0.000 0.000 0.000
Rh1 0.500 0.500 0.500
Pb1 0.000 0.000 0.500
Pb2 0.000 0.500 0.000
Pb3 0.500 0.000 0.000
```

=====

Entry 4:
Below is crystalline Sr3RhPb3 at its relaxed geometry, with properties calculated at the PBE-GGA level.

The crystal system is monoclinic. As for the space-group type: C2/m, No. 12. The value obtained for the total magnetization is 0.00 Bohr magnetons per cell. For the energy relative to the elements, the calculation gives -0.49 eV/atom. As for the density: 7.28 g cm⁻³.

```
data_Sr3RhPb3
_chemical_formula_sum 'Sr6 Rh2 Pb6'
_symmetry_space_group_name_H-M 'P 1'
_symmetry_Int_Tables_number 1
_cell_length_a 6.480
_cell_length_b 6.480
_cell_length_c 16.267
_cell_angle_alpha 107.58
_cell_angle_beta 107.58
_cell_angle_gamma 44.26
loop_
_symmetry_equiv_pos_as_xyz
'x,y,z'
loop_
_atom_site_label
_atom_site_fract_x
_atom_site_fract_y
_atom_site_fract_z
Sr1 0.021 0.021 0.387
Sr2 0.096 0.096 0.918
Sr3 0.241 0.241 0.239
Sr4 0.759 0.759 0.761
Sr5 0.904 0.904 0.082
Sr6 0.979 0.979 0.613
Rh1 0.258 0.258 0.609
Rh2 0.742 0.742 0.391
Pb1 0.337 0.337 0.460
Pb2 0.382 0.382 0.922
Pb3 0.464 0.464 0.756
Pb4 0.536 0.536 0.244
Pb5 0.618 0.618 0.078
Pb6 0.663 0.663 0.540
```

=====

Entry 5:
Below is crystalline SrRhPb3 at its relaxed geometry, with properties calculated at the PBE-GGA level.

The crystal system is cubic. As for the space-group type: Pm-3m, No. 221. The value obtained for the total magnetization is 0.00 Bohr magnetons per cell. For the energy relative to the elements, the calculation gives -0.10 eV/atom. As for the density: 8.61 g cm⁻³.

```
data_SrRhPb3
_chemical_formula_sum 'Sr1 Rh1 Pb3'
_symmetry_space_group_name_H-M 'P 1'
_symmetry_Int_Tables_number 1
_cell_length_a 5.391
_cell_length_b 5.391
_cell_length_c 5.391
_cell_angle_alpha 90.00
_cell_angle_beta 90.00
_cell_angle_gamma 90.00
loop_
_symmetry_equiv_pos_as_xyz
'x,y,z'
loop_
_atom_site_label
_atom_site_fract_x
_atom_site_fract_y
_atom_site_fract_z
Sr1 0.000 0.000 0.000
Rh1 0.500 0.500 0.500
Pb1 0.000 0.500 0.500
Pb2 0.500 0.000 0.500
Pb3 0.500 0.500 0.000
```

=====

Entry 6:
Below is crystalline SrRh3Pb3 at its relaxed geometry, with properties calculated at the PBE-GGA level.

The crystal system is trigonal. As for the space-group type: R-3, No. 148. The value obtained for the total magnetization is 0.00 Bohr magnetons per cell. Its energy above the most stable polymorph in this dataset is 0 meV per atom. For the energy relative to the elements, the calculation gives -0.05 eV/atom. As for the density: 9.55 g cm⁻³.

```
data_SrRh3Pb3
_chemical_formula_sum 'Sr2 Rh6 Pb6'
_symmetry_space_group_name_H-M 'P 1'
_symmetry_Int_Tables_number 1
_cell_length_a 7.349
_cell_length_b 7.349
_cell_length_c 7.349
_cell_angle_alpha 73.07
_cell_angle_beta 73.07
_cell_angle_gamma 73.07
loop_
_symmetry_equiv_pos_as_xyz
'x,y,z'
loop_
_atom_site_label
_atom_site_fract_x
_atom_site_fract_y
_atom_site_fract_z
Sr1 0.175 0.175 0.175
Sr2 0.825 0.825 0.825
Rh1 0.138 0.743 0.460
Rh2 0.257 0.540 0.862
Rh3 0.460 0.138 0.743
Rh4 0.540 0.862 0.257
Rh5 0.743 0.460 0.138
Rh6 0.862 0.257 0.540
Pb1 0.110 0.365 0.679
Pb2 0.321 0.890 0.635
Pb3 0.365 0.679 0.110
Pb4 0.635 0.321 0.890
Pb5 0.679 0.110 0.365
Pb6 0.890 0.635 0.321
```